Entry 1:
# Pm2Dy6Er3Zr | the Alexandria database | PBE | relaxed
data_Pm2Dy6Er3Zr
_space_group_name_H-M_alt 'P 1'
_space_group_IT_number 1
_cell_length_a 6.089
_cell_length_b 6.089
_cell_length_c 11.652
_cell_angle_alpha 94.97
_cell_angle_beta 94.97
_cell_angle_gamma 119.92
loop_
_space_group_symop_operation_xyz
'x,y,z'
loop_
_atom_site_label
_atom_site_type_symbol
_atom_site_fract_x
_atom_site_fract_y
_atom_site_fract_z
Dy1 Dy 0.244 0.244 0.752
Dy2 Dy 0.917 0.591 0.752
Dy3 Dy 0.756 0.756 0.248
Dy4 Dy 0.591 0.917 0.752
Dy5 Dy 0.083 0.409 0.248
Dy6 Dy 0.409 0.083 0.248
Zr1 Zr 0.000 0.000 0.000
Pm1 Pm 0.667 0.333 0.000
Pm2 Pm 0.333 0.667 0.000
Er1 Er 0.834 0.166 0.500
Er2 Er 0.166 0.834 0.500
Er3 Er 0.500 0.500 0.500
# DFT formation energy (eV per atom): 0.051
# V (Å³/atom): 30.73
# Total energy (eV for the cell shown): -58.740



Entry 2:
# PrDy2Er3 | the Alexandria database | PBE | relaxed
data_PrDy2Er3
_space_group_name_H-M_alt 'P 1'
_space_group_IT_number 1
_cell_length_a 6.613
_cell_length_b 6.613
_cell_length_c 8.930
_cell_angle_alpha 98.46
_cell_angle_beta 98.46
_cell_angle_gamma 94.84
loop_
_space_group_symop_operation_xyz
'x,y,z'
loop_
_atom_site_label
_atom_site_type_symbol
_atom_site_fract_x
_atom_site_fract_y
_atom_site_fract_z
Er1 Er 0.573 0.427 0.750
Er2 Er 0.161 0.328 0.494
Er3 Er 0.839 0.672 0.506
Er4 Er 0.328 0.161 0.994
Er5 Er 0.672 0.839 0.006
Er6 Er 0.427 0.573 0.250
Dy1 Dy 0.624 0.129 0.375
Dy2 Dy 0.129 0.624 0.875
Dy3 Dy 0.376 0.871 0.625
Dy4 Dy 0.871 0.376 0.125
Pr1 Pr 0.906 0.094 0.750
Pr2 Pr 0.094 0.906 0.250
# DFT formation energy (eV per atom): 0.070
# Energy relative to the lowest polymorph listed for this composition (meV per atom): 57.4
# V (Å³/atom): 31.66
# Total energy (eV for the cell shown): -54.509



Entry 3:
# Pr4Dy2Er | the Alexandria database | PBE | relaxed
data_Pr4Dy2Er
_space_group_name_H-M_alt 'P 1'
_space_group_IT_number 1
_cell_length_a 6.265
_cell_length_b 6.716
_cell_length_c 11.700
_cell_angle_alpha 90.00
_cell_angle_beta 104.39
_cell_angle_gamma 90.00
loop_
_space_group_symop_operation_xyz
'x,y,z'
loop_
_atom_site_label
_atom_site_type_symbol
_atom_site_fract_x
_atom_site_fract_y
_atom_site_fract_z
Er1 Er 0.854 0.250 0.837
Er2 Er 0.146 0.750 0.163
Dy1 Dy 0.609 0.750 0.994
Dy2 Dy 0.391 0.250 0.006
Dy3 Dy 0.713 0.750 0.578
Dy4 Dy 0.287 0.250 0.422
Pr1 Pr 0.644 0.989 0.284
Pr2 Pr 0.356 0.011 0.716
Pr3 Pr 0.043 0.750 0.866
Pr4 Pr 0.644 0.511 0.284
Pr5 Pr 0.152 0.750 0.451
Pr6 Pr 0.957 0.250 0.134
Pr7 Pr 0.356 0.489 0.716
Pr8 Pr 0.848 0.250 0.549
# DFT formation energy (eV per atom): 0.124
# Energy relative to the lowest polymorph listed for this composition (meV per atom): 62.4
# V (Å³/atom): 34.06
# Total energy (eV for the cell shown): -64.028



Entry 4:
# PrDyEr | the Alexandria database | PBE | relaxed
data_PrDyEr
_space_group_name_H-M_alt 'P 1'
_space_group_IT_number 1
_cell_length_a 3.494
_cell_length_b 5.690
_cell_length_c 5.690
_cell_angle_alpha 120.00
_cell_angle_beta 90.00
_cell_angle_gamma 90.00
loop_
_space_group_symop_operation_xyz
'x,y,z'
loop_
_atom_site_label
_atom_site_type_symbol
_atom_site_fract_x
_atom_site_fract_y
_atom_site_fract_z
Pr1 Pr 0.667 0.667 0.333
Er1 Er 0.166 0.333 0.667
Dy1 Dy 0.167 0.000 0.000
# DFT formation energy (eV per atom): 0.073
# Energy relative to the lowest polymorph listed for this composition (meV per atom): 54.4
# V (Å³/atom): 32.66
# Total energy (eV for the cell shown): -13.726



Entry 5:
# Pr4DyEr | the Alexandria database | PBE | relaxed
data_Pr4DyEr
_space_group_name_H-M_alt 'P 1'
_space_group_IT_number 1
_cell_length_a 8.151
_cell_length_b 8.151
_cell_length_c 5.182
_cell_angle_alpha 90.00
_cell_angle_beta 90.00
_cell_angle_gamma 37.07
loop_
_space_group_symop_operation_xyz
'x,y,z'
loop_
_atom_site_label
_atom_site_type_symbol
_atom_site_fract_x
_atom_site_fract_y
_atom_site_fract_z
Dy1 Dy 0.500 0.500 0.500
Pr1 Pr 0.665 0.665 0.000
Pr2 Pr 0.335 0.335 0.000
Pr3 Pr 0.164 0.164 0.500
Pr4 Pr 0.836 0.836 0.500
Er1 Er 0.000 0.000 0.000
# DFT formation energy (eV per atom): 0.024
# Energy relative to the lowest polymorph listed for this composition (meV per atom): 0.0
# V (Å³/atom): 34.58
# Total energy (eV for the cell shown): -28.142



Entry 6:
# Pr4Dy11Er9 | the Alexandria database | PBE | relaxed
data_Pr4Dy11Er9
_space_group_name_H-M_alt 'P 1'
_space_group_IT_number 1
_cell_length_a 3.683
_cell_length_b 15.061
_cell_length_c 15.061
_cell_angle_alpha 112.80
_cell_angle_beta 90.00
_cell_angle_gamma 90.00
loop_
_space_group_symop_operation_xyz
'x,y,z'
loop_
_atom_site_label
_atom_site_type_symbol
_atom_site_fract_x
_atom_site_fract_y
_atom_site_fract_z
Er1 Er 0.500 0.838 0.365
Er2 Er 0.500 0.635 0.162
Er3 Er 0.500 0.365 0.838
Er4 Er 0.500 0.500 0.500
Er5 Er 0.500 0.935 0.789
Er6 Er 0.500 0.789 0.935
Er7 Er 0.500 0.211 0.065
Er8 Er 0.500 0.065 0.211
Er9 Er 0.500 0.162 0.635
Dy1 Dy 0.000 0.714 0.714
Dy2 Dy 0.000 0.044 0.407
Dy3 Dy 0.000 0.159 0.841
Dy4 Dy 0.000 0.364 0.636
Dy5 Dy 0.000 0.286 0.286
Dy6 Dy 0.000 0.636 0.364
Dy7 Dy 0.000 0.000 0.000
Dy8 Dy 0.000 0.841 0.159
Dy9 Dy 0.000 0.593 0.956
Dy10 Dy 0.000 0.407 0.044
Dy11 Dy 0.000 0.956 0.593
Pr1 Pr 0.500 0.554 0.755
Pr2 Pr 0.500 0.755 0.554
Pr3 Pr 0.500 0.446 0.245
Pr4 Pr 0.500 0.245 0.446
# DFT formation energy (eV per atom): 0.065
# V (Å³/atom): 32.09
# Total energy (eV for the cell shown): -109.236



Entry 7:
# Pr12Dy6Er | the Alexandria database | PBE | relaxed
data_Pr12Dy6Er
_space_group_name_H-M_alt 'P 1'
_space_group_IT_number 1
_cell_length_a 9.315
_cell_length_b 9.315
_cell_length_c 9.315
_cell_angle_alpha 106.65
_cell_angle_beta 106.65
_cell_angle_gamma 106.65
loop_
_space_group_symop_operation_xyz
'x,y,z'
loop_
_atom_site_label
_atom_site_type_symbol
_atom_site_fract_x
_atom_site_fract_y
_atom_site_fract_z
Dy1 Dy 0.192 0.450 0.081
Dy2 Dy 0.081 0.192 0.450
Dy3 Dy 0.550 0.919 0.808
Dy4 Dy 0.450 0.081 0.192
Dy5 Dy 0.808 0.550 0.919
Dy6 Dy 0.919 0.808 0.550
Pr1 Pr 0.415 0.513 0.808
Pr2 Pr 0.825 0.279 0.127
Pr3 Pr 0.487 0.192 0.585
Pr4 Pr 0.127 0.825 0.279
Pr5 Pr 0.175 0.721 0.873
Pr6 Pr 0.192 0.585 0.487
Pr7 Pr 0.808 0.415 0.513
Pr8 Pr 0.585 0.487 0.192
Pr9 Pr 0.513 0.808 0.415
Pr10 Pr 0.873 0.175 0.721
Pr11 Pr 0.279 0.127 0.825
Pr12 Pr 0.721 0.873 0.175
Er1 Er 0.000 0.000 0.000
# DFT formation energy (eV per atom): 0.234
# Energy relative to the lowest polymorph listed for this composition (meV per atom): 105.4
# V (Å³/atom): 35.76
# Total energy (eV for the cell shown): -85.091



Entry 8:
# Pr16Dy6Er7 | the Alexandria database | PBE | relaxed
data_Pr16Dy6Er7
_space_group_name_H-M_alt 'P 1'
_space_group_IT_number 1
_cell_length_a 11.357
_cell_length_b 11.357
_cell_length_c 11.357
_cell_angle_alpha 60.00
_cell_angle_beta 60.00
_cell_angle_gamma 60.00
loop_
_space_group_symop_operation_xyz
'x,y,z'
loop_
_atom_site_label
_atom_site_type_symbol
_atom_site_fract_x
_atom_site_fract_y
_atom_site_fract_z
Pr1 Pr 0.054 0.649 0.649
Pr2 Pr 0.649 0.649 0.649
Pr3 Pr 0.351 0.351 0.351
Pr4 Pr 0.125 0.625 0.125
Pr5 Pr 0.875 0.375 0.875
Pr6 Pr 0.875 0.875 0.375
Pr7 Pr 0.375 0.875 0.875
Pr8 Pr 0.351 0.946 0.351
Pr9 Pr 0.625 0.125 0.125
Pr10 Pr 0.351 0.351 0.946
Pr11 Pr 0.125 0.125 0.125
Pr12 Pr 0.875 0.875 0.875
Pr13 Pr 0.649 0.649 0.054
Pr14 Pr 0.946 0.351 0.351
Pr15 Pr 0.125 0.125 0.625
Pr16 Pr 0.649 0.054 0.649
Er1 Er 0.500 0.500 0.000
Er2 Er 0.500 0.000 0.500
Er3 Er 0.000 0.500 0.000
Er4 Er 0.500 0.000 0.000
Er5 Er 0.000 0.000 0.000
Er6 Er 0.000 0.000 0.500
Er7 Er 0.000 0.500 0.500
Dy1 Dy 0.264 0.736 0.264
Dy2 Dy 0.736 0.736 0.264
Dy3 Dy 0.736 0.264 0.736
Dy4 Dy 0.736 0.264 0.264
Dy5 Dy 0.264 0.736 0.736
Dy6 Dy 0.264 0.264 0.736
# DFT formation energy (eV per atom): 0.200
# V (Å³/atom): 35.72
# Total energy (eV for the cell shown): -130.227



Entry 9:
# Pr2DyEr5 | the Alexandria database | PBE | relaxed
data_Pr2DyEr5
_space_group_name_H-M_alt 'P 1'
_space_group_IT_number 1
_cell_length_a 9.866
_cell_length_b 6.556
_cell_length_c 10.740
_cell_angle_alpha 119.20
_cell_angle_beta 117.34
_cell_angle_gamma 90.00
loop_
_space_group_symop_operation_xyz
'x,y,z'
loop_
_atom_site_label
_atom_site_type_symbol
_atom_site_fract_x
_atom_site_fract_y
_atom_site_fract_z
Dy1 Dy 0.500 0.500 0.500
Dy2 Dy 0.000 0.000 0.500
Er1 Er 0.689 0.052 0.201
Er2 Er 0.940 0.750 0.000
Er3 Er 0.714 0.131 0.603
Er4 Er 0.111 0.369 0.397
Er5 Er 0.889 0.631 0.603
Er6 Er 0.488 0.448 0.799
Er7 Er 0.311 0.948 0.799
Er8 Er 0.286 0.869 0.397
Er9 Er 0.060 0.250 0.000
Er10 Er 0.512 0.552 0.201
Pr1 Pr 0.334 0.041 0.160
Pr2 Pr 0.175 0.459 0.840
Pr3 Pr 0.825 0.541 0.160
Pr4 Pr 0.666 0.959 0.840
# DFT formation energy (eV per atom): 0.171
# Energy relative to the lowest polymorph listed for this composition (meV per atom): 145.8
# V (Å³/atom): 32.23
# Total energy (eV for the cell shown): -71.215